(1)
TaGaFeCu after structural relaxation. Source: the Open Quantum Materials Database, functional PBE.

The structure belongs to space group F-43m (No. 216); the cell edges are 6.081, 6.081 and 6.081 Å and the angles 90.00°, 90.00° and 90.00°. The asymmetric unit holds Ta at (0.000, 0.000, 0.000), Ga at (0.250, 0.250, 0.250), Fe at (0.000, 0.000, 0.500) and Cu at (0.250, 0.250, 0.750).

Its calculated total energy is -0.2428 Ha/atom. For the total moment, the calculation gives 7.4 Bohr magnetons per cell. The excess energy over the best structure of this formula in the dataset comes out at 190 meV per atom.



(2)
TaGaFeCu after structural relaxation. Source: the Open Quantum Materials Database, functional PBE.

The structure belongs to space group F-43m (No. 216); the cell edges are 6.076, 6.076 and 6.076 Å and the angles 90.00°, 90.00° and 90.00°. The asymmetric unit holds Ta at (0.000, 0.000, 0.000), Ga at (0.250, 0.250, 0.250), Fe at (0.250, 0.250, 0.750) and Cu at (0.000, 0.000, 0.500).

Its calculated total energy is -0.2453 Ha/atom. For the total moment, the calculation gives 5.5 Bohr magnetons per cell. The excess energy over the best structure of this formula in the dataset comes out at 123 meV per atom.



(3)
GaFeCuW after structural relaxation. Source: the Open Quantum Materials Database, functional PBE.

The structure belongs to space group F-43m (No. 216); the cell edges are 6.002, 6.002 and 6.002 Å and the angles 90.00°, 90.00° and 90.00°. The asymmetric unit holds Ga at (0.000, 0.000, 0.000), Fe at (0.250, 0.250, 0.250), Cu at (0.000, 0.000, 0.500) and W at (0.250, 0.250, 0.750).

Its calculated total energy is -0.2441 Ha/atom. For the total moment, the calculation gives 8.5 Bohr magnetons per cell. The excess energy over the best structure of this formula in the dataset comes out at 230 meV per atom.



(4)
GaFeCuW after structural relaxation. Source: the Open Quantum Materials Database, functional PBE.

The structure belongs to space group F-43m (No. 216); the cell edges are 5.932, 5.932 and 5.932 Å and the angles 90.00°, 90.00° and 90.00°. The asymmetric unit holds Ga at (0.000, 0.000, 0.000), Fe at (0.250, 0.250, 0.750), Cu at (0.250, 0.250, 0.250) and W at (0.000, 0.000, 0.500).

Its calculated total energy is -0.2526 Ha/atom. For the total moment, the calculation gives 0.0 Bohr magnetons per cell. The excess energy over the best structure of this formula in the dataset comes out at 0 meV per atom.



(5)
GdHo2In3Fe2Cu after structural relaxation. Source: the Open Quantum Materials Database, functional PBE.

The structure belongs to space group Amm2 (No. 38); the cell edges are 3.922, 12.899 and 7.435 Å and the angles 90.00°, 90.00° and 90.00°. The asymmetric unit holds Gd at (0.000, 0.000, 0.000), Ho at (0.000, 0.205, 0.616), In at (0.500, 0.000, 0.668), In at (0.500, 0.129, 0.283), Fe at (0.500, 0.168, 0.911) and Cu at (0.000, 0.000, 0.412).

Its calculated total energy is -0.1809 Ha/atom. For the total moment, the calculation gives 7.2 Bohr magnetons per cell.



(6)
Gd2TmIn3Fe2Cu after structural relaxation. Source: the Open Quantum Materials Database, functional PBE.

The structure belongs to space group Amm2 (No. 38); the cell edges are 3.931, 12.876 and 7.459 Å and the angles 90.00°, 90.00° and 90.00°. The asymmetric unit holds Gd at (0.000, 0.206, 0.000), Tm at (0.000, 0.000, 0.385), In at (0.500, 0.000, 0.053), In at (0.500, 0.128, 0.664), Fe at (0.500, 0.165, 0.294) and Cu at (0.000, 0.000, 0.793).

Its calculated total energy is -0.1807 Ha/atom. For the total moment, the calculation gives 7.2 Bohr magnetons per cell.



(7)
FeCu5Ge2 after structural relaxation. Source: the Open Quantum Materials Database, functional PBE.

The structure belongs to space group P4/mmm (No. 123); the cell edges are 4.056, 4.056 and 6.219 Å and the angles 90.00°, 90.00° and 90.00°. The asymmetric unit holds Fe at (0.000, 0.000, 0.000), Cu at (0.000, 0.500, 0.254), Cu at (0.500, 0.500, 0.500), Ge at (0.000, 0.000, 0.500) and Ge at (0.500, 0.500, 0.000).

Its calculated total energy is -0.1623 Ha/atom. For the total moment, the calculation gives 2.9 Bohr magnetons per cell.



(8)
Fe3CuGe5 after structural relaxation. Source: the Open Quantum Materials Database, functional PBE.

The structure belongs to space group P6/mmm (No. 191); the cell edges are 4.8686, 4.8686 and 6.7204 Å and the angles 90.00°, 90.00° and 120.00°. The asymmetric unit holds Fe at (0.0000, 0.5000, 0.0000), Cu at (0.0000, 0.0000, 0.5000), Ge at (0.0000, 0.0000, 0.0000) and Ge at (0.3333, 0.6667, 0.3064).

Its calculated total energy is -0.2063 Ha/atom. For the total moment, the calculation gives 4.1 Bohr magnetons per cell.



(9)
FeCu5Ge2 after structural relaxation. Source: the Open Quantum Materials Database, functional PBE.

The structure belongs to space group P4/mmm (No. 123); the cell edges are 4.052, 4.052 and 6.231 Å and the angles 90.00°, 90.00° and 90.00°. The asymmetric unit holds Fe at (0.000, 0.000, 0.000), Cu at (0.000, 0.500, 0.254), Cu at (0.500, 0.500, 0.500), Ge at (0.000, 0.000, 0.500) and Ge at (0.500, 0.500, 0.000).

Its calculated total energy is -0.1623 Ha/atom. For the total moment, the calculation gives 2.9 Bohr magnetons per cell.



(10)
FeCuGe2 after structural relaxation. Source: the Open Quantum Materials Database, functional PBE.

The structure belongs to space group F-43m (No. 216); the cell edges are 6.225, 6.225 and 6.225 Å and the angles 90.00°, 90.00° and 90.00°. The asymmetric unit holds Fe at (0.000, 0.000, 0.000), Cu at (0.250, 0.250, 0.250), Ge at (0.000, 0.000, 0.500) and Ge at (0.250, 0.250, 0.750).

Its calculated total energy is -0.1798 Ha/atom. For the total moment, the calculation gives 10.8 Bohr magnetons per cell.



(11)
Fe2CuGe2 after structural relaxation. Source: the Open Quantum Materials Database, functional PBE.

The structure belongs to space group I4/mmm (No. 139); the cell edges are 3.670, 3.670 and 10.742 Å and the angles 90.00°, 90.00° and 90.00°. The asymmetric unit holds Fe at (0.000, 0.500, 0.250), Cu at (0.000, 0.000, 0.000) and Ge at (0.000, 0.000, 0.390).

Its calculated total energy is -0.2089 Ha/atom. For the total moment, the calculation gives 6.9 Bohr magnetons per cell.



(12)
HfFeCuGe after structural relaxation. Source: the Open Quantum Materials Database, functional PBE.

The structure belongs to space group F-43m (No. 216); the cell edges are 6.238, 6.238 and 6.238 Å and the angles 90.00°, 90.00° and 90.00°. The asymmetric unit holds Hf at (0.000, 0.000, 0.000), Fe at (0.250, 0.250, 0.750), Cu at (0.000, 0.000, 0.500) and Ge at (0.250, 0.250, 0.250).

Its calculated total energy is -0.2443 Ha/atom. For the total moment, the calculation gives 6.9 Bohr magnetons per cell. The excess energy over the best structure of this formula in the dataset comes out at 151 meV per atom.



- calculated total energy of number 3 (GaFeCuW)?
  -0.2441 Ha/atom



- The highest total moment belongs to which entry?
  FeCuGe2



- Which value of calculated total energy does entry 1 give?
  -0.2428 Ha/atom